This record from Alexandria describes a relaxed In2P2I crystal. The functional is PBE.

abc: 4.3813 4.3813 7.1868
angles: 72.25 72.25 90.00
Closest atoms and distances in Å follow each position.
Fractional coordinates of all 5 atoms:
P1 0.2500 0.7500 0.5000  4 In 2.79, 4 P 3.10
In1 0.6167 0.6167 0.7665  4 P 2.79, 1 In 3.03
I1 0.0000 0.0000 0.0000  8 In 3.45
In2 0.3833 0.3833 0.2335  4 P 2.79, 1 In 3.03
P2 0.7500 0.2500 0.5000  4 In 2.79, 4 P 3.10

Results
* SG: No. 139
* density of states at the Fermi level: 1.89 states/eV/cell
* formation energy (no corrections): 257.7 meV per atom